! PBE Na2Zn2Si, relaxed; values from VASP
! Relative energy among the computed polymorphs = 0 meV per atom
! Mass density = 3224 kg/m3
! Density of states at the Fermi level = 2.01 states/eV/cell
! SG = C2/c (15)
! Crystal system = monoclinic
&SYSTEM
  ibrav = 0, nat = 10, ntyp = 3
/
ATOMIC_SPECIES
Na 22.99 Na.upf
Zn 65.41 Zn.upf
Si 28.09 Si.upf
CELL_PARAMETERS angstrom
-1.792 -4.699 2.746
-0.681 0.615 -5.372
7.512 -2.926 -0.104
ATOMIC_POSITIONS crystal
Na 0.537 0.304 0.165
Na 0.233 0.696 0.335
Na 0.463 0.696 0.835
Na 0.767 0.304 0.665
Zn 0.739 0.742 0.498
Zn 0.997 0.258 0.002
Zn 0.261 0.258 0.502
Zn 0.003 0.742 0.998
Si 0.897 0.000 0.250
Si 0.103 0.000 0.750